(1)
Compound: ThPaAl2
Source: the Alexandria database
Functional: PBE
Structure: relaxed

- formation energy (eV per atom) = -0.0272
- mass density (kg/m3) = 8827
- crystal system = cubic
- energy above the most stable polymorph in this dataset (kJ per mole of atoms) = 14.2
- E_tot (eV/cell) = -98.04

abc: 7.300 7.300 7.300
angles: 90.00 90.00 90.00
Space group Fm-3m (No. 225)
Unique sites:
Th  0.000  0.000  0.000 [4 per cell]
Pa  0.000  0.000  0.500 [4 per cell]
Al  0.250  0.250  0.250 [8 per cell]


(2)
Compound: LiCa4Cd5
Source: the Alexandria database
Functional: PBE
Structure: relaxed

- formation energy (eV per atom) = -0.3243
- mass density (kg/m3) = 4570
- crystal system = tetragonal
- E_tot (eV/cell) = -17.74

abc: 3.703 3.703 19.326
angles: 90.00 90.00 90.00
Space group P4/mmm (No. 123)
Unique sites:
Li  0.000  0.000  0.000 [1 per cell]
Ca  0.000  0.000  0.188 [2 per cell]
Ca  0.000  0.000  0.396 [2 per cell]
Cd  0.500  0.500  0.079 [2 per cell]
Cd  0.500  0.500  0.291 [2 per cell]
Cd  0.500  0.500  0.500 [1 per cell]


Q: Which value of mass density does entry 1 give?
A: 8827 kg/m3


Q: Look up the formation energy of the first one.
A: -0.0272 eV per atom


Q: Among the records above, which one has the highest E_tot?
A: LiCa4Cd5


Q: Among the records above, which one has the lowest mass density?
A: LiCa4Cd5